Record 1
Li3NbV3O8 | PBE+U | relaxed

## Properties
The calculation puts the total DFT energy (no corrections) at -219.38 eV/cell.

CIF file:
```
data_Li3NbV3O8
_chemical_formula_sum 'Li6 Nb2 V6 O16'
_space_group_name_H-M_alt 'C 1 2/m 1'
_space_group_IT_number 12
_cell_length_a 10.5226
_cell_length_b 6.1068
_cell_length_c 6.1093
_cell_angle_alpha 90.00
_cell_angle_beta 125.24
_cell_angle_gamma 90.00
loop_
_space_group_symop_operation_xyz
'x,y,z'
'-x,-y,-z'
'-x,y,-z'
'x,-y,z'
'x+1/2,y+1/2,z'
'-x+1/2,-y+1/2,-z'
'-x+1/2,y+1/2,-z'
'x+1/2,-y+1/2,z'
loop_
_atom_site_label
_atom_site_fract_x
_atom_site_fract_y
_atom_site_fract_z
Li1 0.0000 0.0000 0.0000
Li2 0.2500 0.2500 0.0000
Nb1 0.0000 0.0000 0.5000
V1 0.0000 0.5000 0.5000
V2 0.2500 0.2500 0.5000
O1 0.0090 0.2352 0.2760
O2 0.2347 0.0000 0.7287
O3 0.2483 0.5000 0.7212
```

---

Record 2
Li2NbV3O8 | PBE+U | relaxed

## Properties
The calculation puts the total DFT energy (no corrections) at -428.19 eV/cell. The polymorph energy (0 for the lowest one) comes out at 0.10 eV/f.u.

CIF file:
```
data_Li2NbV3O8
_chemical_formula_sum 'Li8 Nb4 V12 O32'
_space_group_name_H-M_alt 'P 43 3 2'
_space_group_IT_number 212
_space_group_name_Hall 'P 4acd 2ab 3'
_cell_length_a 8.5920
_cell_length_b 8.5920
_cell_length_c 8.5920
_cell_angle_alpha 90.00
_cell_angle_beta 90.00
_cell_angle_gamma 90.00
loop_
_atom_site_label
_atom_site_fract_x
_atom_site_fract_y
_atom_site_fract_z
Li1 0.0012 0.4988 0.5012
Nb1 0.1250 0.8750 0.3750
V1 0.1213 0.1287 0.6250
O1 0.1107 0.3809 0.1118
O2 0.1129 0.6129 0.8871
```

---

Record 3
Li2NbV3O8 | PBE+U | relaxed

## Properties
The calculation puts the total DFT energy (no corrections) at -214.30 eV/cell. The polymorph energy (0 for the lowest one) comes out at 0.00 eV/f.u.

CIF file:
```
data_Li2NbV3O8
_chemical_formula_sum 'Li4 Nb2 V6 O16'
_space_group_name_H-M_alt 'P 63 m c'
_space_group_IT_number 186
_space_group_name_Hall 'P 6c -2c'
_cell_length_a 6.0054
_cell_length_b 6.0054
_cell_length_c 9.7730
_cell_angle_alpha 90.00
_cell_angle_beta 90.00
_cell_angle_gamma 120.00
loop_
_atom_site_label
_atom_site_fract_x
_atom_site_fract_y
_atom_site_fract_z
Li1 0.0000 0.0000 0.0000
Li2 0.3333 0.6667 0.4085
Nb1 0.3333 0.6667 0.9972
V1 0.1704 0.3407 0.7218
O1 0.0000 0.0000 0.3155
O2 0.0374 0.5187 0.8506
O3 0.1678 0.3355 0.0986
O4 0.3333 0.6667 0.6146
```

---

Record 4
Li5Nb2V5O12 | PBE+U | relaxed

## Properties
The calculation puts the total DFT energy (no corrections) at -350.42 eV/cell. For the density of states at the Fermi level, the calculation gives 0.11 states/eV/atom.

CIF file:
```
data_Li5Nb2V5O12
_chemical_formula_sum 'Li10 Nb4 V10 O24'
_space_group_name_H-M_alt 'C 1 2 1'
_space_group_IT_number 5
_cell_length_a 5.1944
_cell_length_b 9.2730
_cell_length_c 10.2348
_cell_angle_alpha 90.00
_cell_angle_beta 100.69
_cell_angle_gamma 90.00
loop_
_space_group_symop_operation_xyz
'x,y,z'
'-x,y,-z'
'x+1/2,y+1/2,z'
'-x+1/2,y+1/2,-z'
loop_
_atom_site_label
_atom_site_fract_x
_atom_site_fract_y
_atom_site_fract_z
Li1 0.0000 0.0000 0.0000
Li2 0.2448 0.9926 0.7559
Li3 0.2477 0.8448 0.2437
Nb1 0.0000 0.1678 0.5000
Nb2 0.0000 0.6699 0.0000
V1 0.0000 0.3400 0.0000
V2 0.0000 0.4948 0.5000
V3 0.0000 0.8376 0.5000
V4 0.2436 0.1656 0.2464
O1 0.1165 0.5119 0.8823
O2 0.1167 0.8270 0.8795
O3 0.1193 0.0037 0.3744
O4 0.1200 0.3298 0.3737
O5 0.1303 0.6663 0.3817
O6 0.1375 0.1715 0.8824
```